(1)
# SbPtRh2 | Alexandria | PBE | optimized geometry
data_SbPtRh2
_chemical_formula_sum 'Sb1 Pt1 Rh2'
_space_group_name_H-M_alt 'P 4/m m m'
_space_group_IT_number 123
_space_group_name_Hall '-P 4 2'
_cell_length_a 4.040
_cell_length_b 4.040
_cell_length_c 3.907
_cell_angle_alpha 90.00
_cell_angle_beta 90.00
_cell_angle_gamma 90.00
loop_
_atom_site_label
_atom_site_fract_x
_atom_site_fract_y
_atom_site_fract_z
_atom_site_occupancy
Sb1 0.000 0.000 0.000 1
Pt1 0.500 0.500 0.000 1
Rh1 0.000 0.500 0.500 1
# Volume   15.9 Å³ per atom
# E_form (uncorrected)   -0.28 eV/atom
# Spin magnetization   0.000 μB/atom
# N(E_F)   2.7 states/eV/cell
# VASP energy   -6.497 eV per atom
# Crystal system   tetragonal


(2)
# SbPt4Rh | Alexandria | PBE | optimized geometry
data_SbPt4Rh
_chemical_formula_sum 'Sb4 Pt16 Rh4'
_space_group_name_H-M_alt 'I m m a'
_space_group_IT_number 74
_space_group_name_Hall '-I 2b 2'
_cell_length_a 4.835
_cell_length_b 8.346
_cell_length_c 9.847
_cell_angle_alpha 90.00
_cell_angle_beta 90.00
_cell_angle_gamma 90.00
loop_
_atom_site_label
_atom_site_fract_x
_atom_site_fract_y
_atom_site_fract_z
_atom_site_occupancy
Sb1 0.000 0.250 0.113 1
Pt1 0.000 0.082 0.379 1
Pt2 0.000 0.087 0.868 1
Rh1 0.000 0.250 0.627 1
# Volume   16.6 Å³ per atom
# E_form (uncorrected)   -0.08 eV/atom
# Spin magnetization   0.000 μB/atom
# N(E_F)   17.9 states/eV/cell
# VASP energy   -6.024 eV per atom
# Crystal system   orthorhombic


(3)
# Sb2PtRh | Alexandria | PBE | optimized geometry
data_Sb2PtRh
_chemical_formula_sum 'Sb4 Pt2 Rh2'
_space_group_name_H-M_alt 'I -4 m 2'
_space_group_IT_number 119
_space_group_name_Hall 'I -4 -2'
_cell_length_a 4.035
_cell_length_b 4.035
_cell_length_c 9.387
_cell_angle_alpha 90.00
_cell_angle_beta 90.00
_cell_angle_gamma 90.00
loop_
_atom_site_label
_atom_site_fract_x
_atom_site_fract_y
_atom_site_fract_z
_atom_site_occupancy
Sb1 0.000 0.000 0.000 1
Sb2 0.000 0.500 0.250 1
Pt1 0.000 0.500 0.750 1
Rh1 0.000 0.000 0.500 1
# Volume   19.1 Å³ per atom
# E_form (uncorrected)   -0.05 eV/atom
# Spin magnetization   0.000 μB/atom
# N(E_F)   5.5 states/eV/cell
# VASP energy   -5.455 eV per atom
# Crystal system   tetragonal


(4)
# SbPt2Rh | Alexandria | PBE | optimized geometry
data_SbPt2Rh
_chemical_formula_sum 'Sb3 Pt6 Rh3'
_space_group_name_H-M_alt 'R -3 m'
_space_group_IT_number 166
_space_group_name_Hall '-R 3 2"'
_cell_length_a 3.0194
_cell_length_b 3.0194
_cell_length_c 26.3885
_cell_angle_alpha 90.00
_cell_angle_beta 90.00
_cell_angle_gamma 120.00
loop_
_atom_site_label
_atom_site_fract_x
_atom_site_fract_y
_atom_site_fract_z
_atom_site_occupancy
Sb1 0.0000 0.0000 0.0000 1
Pt1 0.0000 0.0000 0.2485 1
Rh1 0.0000 0.0000 0.5000 1
# Volume   17.4 Å³ per atom
# E_form (uncorrected)   0.18 eV/atom
# Spin magnetization   0.324 μB/atom
# N(E_F)   12.9 states/eV/cell
# VASP energy   -5.708 eV per atom
# Crystal system   trigonal